InSnW3: relaxed, PBEsol.

* energy: -6.943 eV/atom
* symmetry: Pm-3m, No. 221

Cell: 4.827 4.827 4.827 Å, 90.00 90.00 90.00°
Fractional positions:
1 In 0.000 0.000 0.000
2 W 0.000 0.500 0.000
3 W 0.500 0.000 0.000
4 W 0.000 0.000 0.500
5 Sn 0.500 0.500 0.500